VASP calculation (PBE-GGA) on Pr12Sm7Tm after structural relaxation.

Computed properties:
ΔE_f = 217 meV/atom
DOS(E_F) = 120.67 states/eV per cell
E_tot = -271.537 eV for the cell shown

Structure (CIF):
```
data_Pr12Sm7Tm
_cell_length_a 12.4395
_cell_length_b 12.4395
_cell_length_c 15.9435
_cell_angle_alpha 90.00
_cell_angle_beta 90.00
_cell_angle_gamma 120.00
_space_group_name_H-M_alt 'R -3'
_space_group_IT_number 148
_space_group_name_Hall '-R 3'
loop_
_atom_site_label
_atom_site_fract_x
_atom_site_fract_y
_atom_site_fract_z
_atom_site_occupancy
Pr1 0.0231 0.5765 0.2209 1
Pr2 0.0595 0.4686 0.5803 1
Sm1 0.0000 0.0000 0.0000 1
Sm2 0.0562 0.8693 0.2984 1
Tm1 0.0000 0.0000 0.5000 1
```